# 1
## Ac2GeAu5 (PBE)

Data for a geometry-optimized Ac2GeAu5 structure.

Lattice parameters (Å, degrees): 6.571 6.571 6.571 118.12 118.12 93.30
Element x y z (fractional)
Ac (0.000, 0.500, 0.500)
Ac (0.500, 0.000, 0.500)
Ge (0.276, 0.276, 0.000)
Au (0.532, 0.532, 0.569)
Au (0.532, 0.964, 0.000)
Au (0.964, 0.532, 0.000)
Au (0.964, 0.964, 0.431)
Au (0.988, 0.988, 0.000)

Results
Size of the total moment = 0.0 μB per formula unit
Calculated total energy = -4.195 eV per atom

---

# 2
## SrGa3Pd5 (PBE)

Data for a geometry-optimized SrGa3Pd5 structure.

Lattice parameters (Å, degrees): 6.895 6.895 12.729 90.00 90.00 145.68
Element x y z (fractional)
Sr (0.166, 0.834, 0.750)
Sr (0.834, 0.166, 0.250)
Ga (0.104, 0.896, 0.250)
Ga (0.380, 0.620, 0.040)
Ga (0.380, 0.620, 0.460)
Ga (0.620, 0.380, 0.540)
Ga (0.620, 0.380, 0.960)
Ga (0.896, 0.104, 0.750)
Pd (0.000, 0.000, 0.000)
Pd (0.000, 0.000, 0.500)
Pd (0.197, 0.803, 0.070)
Pd (0.197, 0.803, 0.430)
Pd (0.453, 0.547, 0.643)
Pd (0.453, 0.547, 0.857)
Pd (0.547, 0.453, 0.143)
Pd (0.547, 0.453, 0.357)
Pd (0.803, 0.197, 0.570)
Pd (0.803, 0.197, 0.930)

Results
Size of the total moment = 0.0 μB per formula unit
Calculated total energy = -4.727 eV per atom